1.
Density functional theory data (PBE) for a geometry-optimized Ca2NdAu structure.

The structure belongs to space group R-3m (No. 166, hexagonal axes); the cell edges are 3.7839, 3.7839 and 33.5597 Å and the angles 90.00°, 90.00° and 120.00°. Symmetry generates all atoms from Ca at (0.0000, 0.0000, 0.1073), Nd at (0.0000, 0.0000, 0.0000) and Au at (0.0000, 0.0000, 0.5000).

Its energy is -12.62 eV per formula unit. As for the total magnetization: 0.00 μB/f.u. The crystal system is trigonal. For the density of states at the Fermi level, the calculation gives 0.95 states/eV/atom. The calculation puts the energy of formation from the pure elements at -0.143 eV/atom. As for the relative energy among the computed polymorphs: 261 meV per atom.

=====

2.
Density functional theory data (PBE) for a geometry-optimized CaNdAu2 structure.

The structure belongs to space group R3m (No. 160, hexagonal axes); the cell edges are 4.1945, 4.1945 and 22.3375 Å and the angles 90.00°, 90.00° and 120.00°. Symmetry generates all atoms from Ca at (0.0000, 0.0000, 0.0000), Nd at (0.0000, 0.0000, 0.8294), Au at (0.0000, 0.0000, 0.2475) and Au at (0.0000, 0.0000, 0.4148).

Its energy is -16.05 eV per formula unit. As for the total magnetization: 0.00 μB/f.u. The crystal system is trigonal. For the density of states at the Fermi level, the calculation gives 0.61 states/eV/atom. The calculation puts the energy of formation from the pure elements at -0.681 eV/atom.

=====

3.
Density functional theory data (PBE) for a geometry-optimized Ca2NdAu structure.

The structure belongs to space group R3m (No. 160, hexagonal axes); the cell edges are 3.8576, 3.8576 and 30.9829 Å and the angles 90.00°, 90.00° and 120.00°. Symmetry generates all atoms from Ca at (0.0000, 0.0000, 0.0000), Ca at (0.0000, 0.0000, 0.2042), Nd at (0.0000, 0.0000, 0.7681) and Au at (0.0000, 0.0000, 0.6022).

Its energy is -13.18 eV per formula unit. As for the total magnetization: 0.21 μB/f.u. The crystal system is trigonal. For the density of states at the Fermi level, the calculation gives 1.13 states/eV/atom. The calculation puts the energy of formation from the pure elements at -0.283 eV/atom. As for the relative energy among the computed polymorphs: 121 meV per atom.

=====

4.
Density functional theory data (PBE) for a geometry-optimized Ca3NdAu2 structure.

The structure belongs to space group Pmc2_1 (No. 26); the cell edges are 4.888, 9.484 and 7.491 Å and the angles 90.00°, 90.00° and 90.00°. Symmetry generates all atoms from Ca at (0.000, 0.083, 0.000), Ca at (0.000, 0.322, 0.376), Ca at (0.500, 0.177, 0.667), Nd at (0.500, 0.422, 0.038), Au at (0.000, 0.365, 0.784) and Au at (0.500, 0.143, 0.260).

Its energy is -20.76 eV per formula unit. As for the total magnetization: 0.00 μB/f.u. The crystal system is orthorhombic. For the density of states at the Fermi level, the calculation gives 1.03 states/eV/atom. The calculation puts the energy of formation from the pure elements at -0.573 eV/atom.

=====

5.
Density functional theory data (PBE) for a geometry-optimized CaNdAu structure.

The structure belongs to space group Cmcm (No. 63); the cell edges are 5.235, 13.006 and 5.249 Å and the angles 90.00°, 90.00° and 90.00°. Symmetry generates all atoms from Ca at (0.000, 0.112, 0.250), Nd at (0.000, 0.382, 0.250) and Au at (0.000, 0.252, 0.750).

Its energy is -11.61 eV per formula unit. As for the total magnetization: 0.00 μB/f.u. The crystal system is orthorhombic. For the density of states at the Fermi level, the calculation gives 0.87 states/eV/atom. The calculation puts the energy of formation from the pure elements at -0.520 eV/atom. As for the relative energy among the computed polymorphs: 0 meV per atom.

=====

6.
Density functional theory data (PBE) for a geometry-optimized CaNd2Au8 structure.

The structure belongs to space group C2/m (No. 12); the cell edges are 8.010, 15.379 and 5.255 Å and the angles 90.00°, 129.95° and 90.00°. Symmetry generates all atoms from Ca at (0.000, 0.000, 0.000), Nd at (0.000, 0.316, 0.500), Au at (0.000, 0.200, 0.000), Au at (0.003, 0.500, 0.253) and Au at (0.228, 0.132, 0.736).

Its energy is -45.13 eV per formula unit. As for the total magnetization: 0.00 μB/f.u. The crystal system is monoclinic. For the density of states at the Fermi level, the calculation gives 0.35 states/eV/atom. The calculation puts the energy of formation from the pure elements at -0.671 eV/atom.